# 1
4
Lattice="3.423 -1.979 0.000 3.423 1.979 0.000 -2.271 0.000 7.754" Properties=species:S:1:pos:R:3 comment="PrSmSBr (PBE, relaxed)" e_form_raw_ev_per_atom=-1.564 total_energy_ev_per_atom=-5.39 dos_ef_per_ev_fu=2.83 pbc="T T T"
Pr 0.000 0.000 0.000
Sm 4.570 0.000 3.153
S 2.285 0.000 1.621
Br 0.008 0.000 5.353

# 2
4
Lattice="-1.538 2.917 5.552 1.538 -2.917 5.552 1.538 2.917 -5.552" Properties=species:S:1:pos:R:3 comment="KSbW2 (PBE, relaxed)" e_form_raw_ev_per_atom=1.164 total_energy_ev_per_atom=-6.62 dos_ef_per_ev_fu=4.01 pbc="T T T"
K 0.000 0.000 0.000
Sb 1.538 0.000 3.250
W 0.000 0.000 5.842
W 0.000 2.917 2.174